Entry i
# K6NpF12

A relaxed K6NpF12 crystal (PBE, Alexandria via LeMat-Bulk).

It has space group R-3 (No. 148, hexagonal axes), with a = 13.4668 Å, b = 13.4668 Å, c = 7.0365 Å, α = 90.00°, β = 90.00° and γ = 120.00°. The inequivalent atoms are K at (0.0167, 0.5496, 0.2553), Np at (0.0000, 0.0000, 0.0000), F at (0.0066, 0.8789, 0.8306) and F at (0.0083, 0.7473, 0.2493).

The density of states at the Fermi level is 1.024 states/eV/atom.

Entry ii
# K6NpF12

A relaxed K6NpF12 crystal (PBE, Alexandria via LeMat-Bulk).

It has space group R-3 (No. 148, hexagonal axes), with a = 11.7103 Å, b = 11.7103 Å, c = 10.8803 Å, α = 90.00°, β = 90.00° and γ = 120.00°. The inequivalent atoms are K at (0.0138, 0.7846, 0.1293), Np at (0.0000, 0.0000, 0.5000), F at (0.0101, 0.7886, 0.8894) and F at (0.0133, 0.8636, 0.3924).

The density of states at the Fermi level is 1.446 states/eV/atom.

Calculated relative energies: entry i 33; entry ii 0, given in meV/atom

Entry i
# K6O2F

A relaxed K6O2F crystal (PBE, Alexandria via LeMat-Bulk).

It has space group C2/m (No. 12), with a = 15.238 Å, b = 4.038 Å, c = 12.180 Å, α = 90.00°, β = 121.81° and γ = 90.00°. The inequivalent atoms are K at (0.032, 0.000, 0.246), K at (0.140, 0.500, 0.105), K at (0.205, 0.500, 0.571), O at (0.160, 0.500, 0.325) and F at (0.000, 0.000, 0.000).

The density of states at the Fermi level is 0.231 states/eV/atom.

Entry ii
# K6O2F

A relaxed K6O2F crystal (PBE, Alexandria via LeMat-Bulk).

It has space group C2/m (No. 12), with a = 14.778 Å, b = 4.036 Å, c = 9.782 Å, α = 90.00°, β = 93.24° and γ = 90.00°. The inequivalent atoms are K at (0.061, 0.000, 0.251), K at (0.154, 0.500, 0.004), K at (0.215, 0.000, 0.683), O at (0.221, 0.000, 0.185) and F at (0.000, 0.000, 0.000).

The density of states at the Fermi level is 0.158 states/eV/atom.

Calculated relative energies: entry i 0; entry ii 48, given in meV/atom

Entry i
# KOF2

A relaxed KOF2 crystal (PBE, Alexandria via LeMat-Bulk).

It has space group I-42d (No. 122), with a = 4.646 Å, b = 4.646 Å, c = 12.260 Å, α = 90.00°, β = 90.00° and γ = 90.00°. The inequivalent atoms are K at (0.000, 0.000, 0.000), O at (0.000, 0.000, 0.500) and F at (0.100, 0.250, 0.625).

The density of states at the Fermi level is 0.279 states/eV/atom.

Entry ii
# KOF2

A relaxed KOF2 crystal (PBE, Alexandria via LeMat-Bulk).

It has space group R-3m (No. 166, hexagonal axes), with a = 3.7299 Å, b = 3.7299 Å, c = 20.1330 Å, α = 90.00°, β = 90.00° and γ = 120.00°. The inequivalent atoms are K at (0.0000, 0.0000, 0.0000), O at (0.0000, 0.0000, 0.5000) and F at (0.0000, 0.0000, 0.1150).

The density of states at the Fermi level is 0.000 states/eV/atom.

Calculated relative energies: entry i 0; entry ii 366, given in meV/atom